1) First-principles (PBE) data for crystalline ScTl2C at its relaxed geometry, as listed in the Alexandria database.

The value obtained for the density of states at the Fermi level is 3.26 states/eV/f.u.

a = 4.917 Å, b = 4.917 Å, c = 4.917 Å
α = 60.00°, β = 60.00°, γ = 60.00°
Fractional positions:
1 Sc 0.500 0.500 0.500
2 Tl 0.250 0.250 0.250
3 Tl 0.750 0.750 0.750
4 C 0.000 0.000 0.000


2) First-principles (PBE) data for crystalline ScTl2C at its relaxed geometry, as listed in the Alexandria database.

The value obtained for the density of states at the Fermi level is 2.48 states/eV/f.u.

a = 9.168 Å, b = 9.168 Å, c = 6.849 Å
α = 47.98°, β = 47.98°, γ = 90.00°
Fractional positions:
1 Sc 0.000 0.000 0.000
2 Sc 0.750 0.250 0.500
3 Tl 0.503 0.125 0.250
4 Tl 0.247 0.625 0.250
5 Tl 0.375 0.497 0.750
6 Tl 0.875 0.753 0.750
7 C 0.500 0.500 0.000
8 C 0.250 0.750 0.500


Which is the most stable structure? 2) is the most stable.